{
  "formula": "KInSCl2",
  "functional": "PBE-GGA",
  "state": "optimized geometry",
  "lattice": [[5.8464, 0.0000, 0.0000], [0.0000, 5.8464, 0.0000], [0.0000, 0.0000, 5.7665]],
  "species": ["K", "In", "S", "Cl", "Cl"],
  "fractional_positions": [[0.0000, 0.0000, 0.0000], [0.5000, 0.5000, 0.5000], [0.0000, 0.0000, 0.5000], [0.0000, 0.5000, 0.0000], [0.5000, 0.0000, 0.0000]],
  "de_polymorph_ev_per_fu": 4.11,
  "spacegroup": "P4/mmm (123)"
}